Entry 1:
VASP calculation (GGA-PBE) on Ni7Pt6 after structural relaxation.

Lattice parameters (Å, degrees): 9.091 9.091 9.091 30.52 30.52 30.52
Atoms (fractional coordinates):
Ni 0.000 0.000 0.000
Ni 0.091 0.091 0.588
Ni 0.091 0.588 0.091
Ni 0.412 0.909 0.909
Ni 0.588 0.091 0.091
Ni 0.909 0.412 0.909
Ni 0.909 0.909 0.412
Pt 0.166 0.166 0.166
Pt 0.345 0.345 0.345
Pt 0.450 0.450 0.450
Pt 0.550 0.550 0.550
Pt 0.655 0.655 0.655
Pt 0.834 0.834 0.834

Summary:
* total moment: 7.0 μB/cell
* SG: R-3m (166)
* DOS at the Fermi energy: 23.7 states/eV/f.u.
* ΔE_f: 0.00 eV per atom
* volume: 171.7 Å³ per cell
* raw total energy: -5.90 eV per atom



Entry 2:
VASP calculation (GGA-PBE) on Ba4NiPd after structural relaxation.

Lattice parameters (Å, degrees): 10.166 10.166 7.885 105.45 105.45 125.87
Atoms (fractional coordinates):
Ba 0.059 0.425 0.247
Ba 0.192 0.299 0.744
Ba 0.299 0.192 0.244
Ba 0.425 0.059 0.747
Ba 0.575 0.941 0.253
Ba 0.701 0.808 0.756
Ba 0.808 0.701 0.256
Ba 0.941 0.575 0.753
Ni 0.071 0.929 0.750
Ni 0.929 0.071 0.250
Pd 0.429 0.571 0.250
Pd 0.571 0.429 0.750

Summary:
* total moment: 0.0 μB/cell
* SG: C2/c (15)
* DOS at the Fermi energy: 3.8 states/eV/f.u.
* ΔE_f: -0.16 eV per atom
* volume: 535.4 Å³ per cell
* raw total energy: -3.27 eV per atom



Entry 3:
VASP calculation (GGA-PBE) on Tb3Cu2Ni after structural relaxation.

Lattice parameters (Å, degrees): 11.408 4.275 10.677 90.00 90.00 90.00
Atoms (fractional coordinates):
Tb 0.052 0.250 0.125
Tb 0.112 0.750 0.561
Tb 0.226 0.250 0.798
Tb 0.274 0.750 0.298
Tb 0.388 0.250 0.061
Tb 0.448 0.750 0.625
Tb 0.552 0.250 0.375
Tb 0.612 0.750 0.939
Tb 0.726 0.250 0.702
Tb 0.774 0.750 0.202
Tb 0.888 0.250 0.439
Tb 0.948 0.750 0.875
Cu 0.017 0.750 0.308
Cu 0.199 0.750 0.006
Cu 0.301 0.250 0.506
Cu 0.483 0.250 0.808
Cu 0.517 0.750 0.192
Cu 0.699 0.750 0.494
Cu 0.801 0.250 0.994
Cu 0.983 0.250 0.692
Ni 0.125 0.250 0.373
Ni 0.375 0.750 0.873
Ni 0.625 0.250 0.127
Ni 0.875 0.750 0.627

Summary:
* total moment: 0.0 μB/cell
* SG: Pnma (62)
* DOS at the Fermi energy: 5.3 states/eV/f.u.
* distance to the lowest polymorph of the same formula: 0.010 eV per atom
* ΔE_f: -0.27 eV per atom
* volume: 520.7 Å³ per cell
* raw total energy: -4.92 eV per atom



Entry 4:
VASP calculation (GGA-PBE) on Nb5Si2Sb2 after structural relaxation.

Lattice parameters (Å, degrees): 7.922 7.922 6.804 90.00 90.00 50.85
Atoms (fractional coordinates):
Nb 0.000 0.000 0.000
Nb 0.047 0.714 0.673
Nb 0.214 0.547 0.173
Nb 0.286 0.953 0.673
Nb 0.453 0.786 0.173
Nb 0.500 0.500 0.500
Nb 0.547 0.214 0.827
Nb 0.714 0.047 0.327
Nb 0.786 0.453 0.827
Nb 0.953 0.286 0.327
Si 0.126 0.874 0.375
Si 0.374 0.626 0.875
Si 0.626 0.374 0.125
Si 0.874 0.126 0.625
Sb 0.213 0.213 0.000
Sb 0.287 0.287 0.500
Sb 0.713 0.713 0.500
Sb 0.787 0.787 0.000

Summary:
* total moment: 0.0 μB/cell
* SG: Cmce (64)
* DOS at the Fermi energy: 5.9 states/eV/f.u.
* energy relative to the elements, uncorrected: -0.443 eV per atom
* volume: 331.2 Å³ per cell
* raw total energy: -8.16 eV per atom



Entry 5:
VASP calculation (GGA-PBE) on HfRh2Pb after structural relaxation.

Lattice parameters (Å, degrees): 7.297 7.297 6.007 90.00 90.00 90.00
Atoms (fractional coordinates):
Hf 0.000 0.000 0.000
Hf 0.000 0.500 0.250
Hf 0.500 0.000 0.750
Hf 0.500 0.500 0.500
Rh 0.222 0.750 0.125
Rh 0.250 0.222 0.875
Rh 0.250 0.278 0.375
Rh 0.278 0.750 0.625
Rh 0.722 0.250 0.625
Rh 0.750 0.722 0.375
Rh 0.750 0.778 0.875
Rh 0.778 0.250 0.125
Pb 0.000 0.000 0.500
Pb 0.000 0.500 0.750
Pb 0.500 0.000 0.250
Pb 0.500 0.500 0.000

Summary:
* total moment: 0.0 μB/cell
* SG: I-42d (122)
* DOS at the Fermi energy: 1.7 states/eV/f.u.
* ΔE_f: -0.11 eV per atom
* volume: 319.9 Å³ per cell
* raw total energy: -7.20 eV per atom